# 1
Here is a relaxed LaCrSI2 crystal from Alexandria via LeMat-Bulk. Energies are from PBEsol.

Output
The calculation puts the uncorrected formation energy at -0.009 eV per atom. The calculation puts the size of the total moment at 3.24 μB/f.u. The density is 5.08 Mg/m³.

Cell and atoms, written as CIF:
```
data_LaCrSI2
_chemical_formula_sum 'La1 Cr1 S1 I2'
_space_group_name_H-M_alt 'P 4/m m m'
_space_group_IT_number 123
_space_group_name_Hall '-P 4 2'
_cell_length_a 6.106
_cell_length_b 6.106
_cell_length_c 4.181
_cell_angle_alpha 90.00
_cell_angle_beta 90.00
_cell_angle_gamma 90.00
loop_
_atom_site_label
_atom_site_fract_x
_atom_site_fract_y
_atom_site_fract_z
La1 0.000 0.000 0.000
Cr1 0.500 0.500 0.000
S1 0.500 0.500 0.500
I1 0.000 0.500 0.500
```


# 2
Here is a relaxed LiCaTe2 crystal from Alexandria via LeMat-Bulk. Energies are from PBEsol.

Output
The calculation puts the uncorrected formation energy at -0.989 eV per atom. The calculation puts the size of the total moment at 0.00 μB/f.u. The density is 4.77 Mg/m³.

Cell and atoms, written as CIF:
```
data_LiCaTe2
_chemical_formula_sum 'Li2 Ca2 Te4'
_space_group_name_H-M_alt 'C m m m'
_space_group_IT_number 65
_space_group_name_Hall '-C 2 2'
_cell_length_a 6.779
_cell_length_b 7.832
_cell_length_c 3.959
_cell_angle_alpha 90.00
_cell_angle_beta 90.00
_cell_angle_gamma 90.00
loop_
_atom_site_label
_atom_site_fract_x
_atom_site_fract_y
_atom_site_fract_z
Li1 0.000 0.000 0.000
Ca1 0.000 0.500 0.000
Te1 0.250 0.250 0.500
```


# 3
Here is a relaxed AgAu5 crystal from Alexandria via LeMat-Bulk. Energies are from PBEsol.

Output
As for the formation enthalpy at 0 K: -28 meV per atom. As for the energy above the most stable polymorph in this dataset: 0 meV/atom. The calculation puts the size of the total moment at 0.00 μB/f.u. The density is 17.97 Mg/m³.

Cell and atoms, written as CIF:
```
data_AgAu5
_chemical_formula_sum 'Ag2 Au10'
_space_group_name_H-M_alt 'C m m m'
_space_group_IT_number 65
_space_group_name_Hall '-C 2 2'
_cell_length_a 4.046
_cell_length_b 12.140
_cell_length_c 4.111
_cell_angle_alpha 90.00
_cell_angle_beta 90.00
_cell_angle_gamma 90.00
loop_
_atom_site_label
_atom_site_fract_x
_atom_site_fract_y
_atom_site_fract_z
Ag1 0.000 0.000 0.000
Au1 0.000 0.166 0.500
Au2 0.000 0.334 0.000
Au3 0.000 0.500 0.500
```


# 4
Here is a relaxed Mg2InAu crystal from Alexandria via LeMat-Bulk. Energies are from PBEsol.

Output
As for the formation enthalpy at 0 K: -319 meV per atom. The calculation puts the size of the total moment at 0.00 μB/f.u. The density is 7.73 Mg/m³.

Cell and atoms, written as CIF:
```
data_Mg2InAu
_chemical_formula_sum 'Mg2 In1 Au1'
_space_group_name_H-M_alt 'P m m 2'
_space_group_IT_number 25
_cell_length_a 3.209
_cell_length_b 4.790
_cell_length_c 5.035
_cell_angle_alpha 90.00
_cell_angle_beta 90.00
_cell_angle_gamma 90.00
loop_
_space_group_symop_operation_xyz
'x,y,z'
'-x,-y,z'
'-x,y,z'
'x,-y,z'
loop_
_atom_site_label
_atom_site_fract_x
_atom_site_fract_y
_atom_site_fract_z
Mg1 0.000 0.000 0.000
Mg2 0.000 0.500 0.377
In1 0.500 0.000 0.514
Au1 0.500 0.500 0.881
```


# 5
Here is a relaxed Mn4TcRu crystal from Alexandria via LeMat-Bulk. Energies are from PBEsol.

Output
As for the formation enthalpy at 0 K: -2 meV per atom. The calculation puts the size of the total moment at 0.89 μB/f.u. The density is 10.14 Mg/m³.

Cell and atoms, written as CIF:
```
data_Mn4TcRu
_chemical_formula_sum 'Mn16 Tc4 Ru4'
_space_group_name_H-M_alt 'F -4 3 m'
_space_group_IT_number 216
_space_group_name_Hall 'F -4 2 3'
_cell_length_a 6.497
_cell_length_b 6.497
_cell_length_c 6.497
_cell_angle_alpha 90.00
_cell_angle_beta 90.00
_cell_angle_gamma 90.00
loop_
_atom_site_label
_atom_site_fract_x
_atom_site_fract_y
_atom_site_fract_z
Mn1 0.124 0.124 0.124
Tc1 0.000 0.000 0.500
Ru1 0.250 0.250 0.750
```


# 6
Here is a relaxed Cd2BrN crystal from Alexandria via LeMat-Bulk. Energies are from PBEsol.

Output
The calculation puts the uncorrected formation energy at 0.874 eV per atom. The calculation puts the size of the total moment at 0.00 μB/f.u. The density is 7.44 Mg/m³.

Cell and atoms, written as CIF:
```
data_Cd2BrN
_chemical_formula_sum 'Cd8 Br4 N4'
_space_group_name_H-M_alt 'F m -3 m'
_space_group_IT_number 225
_space_group_name_Hall '-F 4 2 3'
_cell_length_a 6.577
_cell_length_b 6.577
_cell_length_c 6.577
_cell_angle_alpha 90.00
_cell_angle_beta 90.00
_cell_angle_gamma 90.00
loop_
_atom_site_label
_atom_site_fract_x
_atom_site_fract_y
_atom_site_fract_z
Cd1 0.250 0.250 0.250
Br1 0.000 0.000 0.000
N1 0.000 0.000 0.500
```